# 1
A geometry-optimized Rb3InHg6 structure. Source: Alexandria, functional PBE.

Calculated values
N(E_F) ... 3.6 states/eV/cell
E_form ... -199 kJ/mol of formula units
Total moment ... 0.000 μB per cell

Geometry as CIF:
```
data_Rb3InHg6
_chemical_formula_sum 'Rb3 In1 Hg6'
_cell_length_a 6.577
_cell_length_b 8.284
_cell_length_c 8.284
_cell_angle_alpha 113.26
_cell_angle_beta 105.35
_cell_angle_gamma 105.35
_space_group_name_H-M_alt 'P 1'
_space_group_IT_number 1
loop_
_space_group_symop_operation_xyz
'x,y,z'
loop_
_atom_site_label
_atom_site_fract_x
_atom_site_fract_y
_atom_site_fract_z
Rb1 0.316 0.000 0.500
Rb2 0.816 0.500 0.500
Rb3 0.316 0.500 0.000
Hg1 0.885 0.000 0.715
Hg2 0.748 0.000 0.287
Hg3 0.748 0.287 0.000
Hg4 0.170 0.285 0.285
Hg5 0.460 0.713 0.713
Hg6 0.885 0.715 0.000
In1 0.317 0.000 0.000
```

=====

# 2
A geometry-optimized Rb2In17Hg3 structure. Source: Alexandria, functional PBE.

Calculated values
N(E_F) ... 9.7 states/eV/cell
E_form ... 6 kJ/mol of formula units
Total moment ... 0.000 μB per cell

Geometry as CIF:
```
data_Rb2In17Hg3
_chemical_formula_sum 'Rb2 In17 Hg3'
_cell_length_a 8.900
_cell_length_b 8.899
_cell_length_c 8.899
_cell_angle_alpha 82.14
_cell_angle_beta 82.14
_cell_angle_gamma 82.14
_space_group_name_H-M_alt 'P 1'
_space_group_IT_number 1
loop_
_space_group_symop_operation_xyz
'x,y,z'
loop_
_atom_site_label
_atom_site_fract_x
_atom_site_fract_y
_atom_site_fract_z
In1 0.177 0.669 0.669
In2 0.823 0.331 0.331
In3 0.500 0.000 0.000
In4 0.746 0.000 0.254
In5 0.331 0.823 0.331
In6 0.254 0.000 0.746
In7 0.254 0.746 0.000
In8 0.000 0.500 0.000
In9 0.000 0.254 0.746
In10 0.746 0.254 0.000
In11 0.000 0.746 0.254
In12 0.669 0.669 0.177
In13 0.117 0.117 0.117
In14 0.669 0.177 0.669
In15 0.331 0.331 0.823
In16 0.000 0.000 0.500
In17 0.883 0.883 0.883
Rb1 0.356 0.356 0.356
Rb2 0.644 0.644 0.644
Hg1 0.500 0.000 0.500
Hg2 0.000 0.500 0.500
Hg3 0.500 0.500 0.000
```

=====

# 3
A geometry-optimized Rb3In4Hg structure. Source: Alexandria, functional PBE.

Calculated values
N(E_F) ... 9.9 states/eV/cell
E_form ... -75 kJ/mol of formula units
Total moment ... 0.000 μB per cell

Geometry as CIF:
```
data_Rb3In4Hg
_chemical_formula_sum 'Rb6 In8 Hg2'
_cell_length_a 6.896
_cell_length_b 6.618
_cell_length_c 14.795
_cell_angle_alpha 90.00
_cell_angle_beta 90.00
_cell_angle_gamma 90.00
_space_group_name_H-M_alt 'P 1'
_space_group_IT_number 1
loop_
_space_group_symop_operation_xyz
'x,y,z'
loop_
_atom_site_label
_atom_site_fract_x
_atom_site_fract_y
_atom_site_fract_z
Hg1 0.324 0.000 0.500
Hg2 0.676 0.500 0.000
Rb1 0.796 0.500 0.756
Rb2 0.796 0.500 0.244
Rb3 0.472 0.500 0.500
Rb4 0.204 0.000 0.256
Rb5 0.528 0.000 0.000
Rb6 0.204 0.000 0.744
In1 0.970 0.730 0.500
In2 0.693 0.000 0.387
In3 0.030 0.230 0.000
In4 0.307 0.500 0.113
In5 0.307 0.500 0.887
In6 0.970 0.270 0.500
In7 0.693 0.000 0.613
In8 0.030 0.770 0.000
```

=====

# 4
A geometry-optimized Rb2In3Hg8 structure. Source: Alexandria, functional PBE.

Calculated values
N(E_F) ... 5.2 states/eV/cell
E_form ... -155 kJ/mol of formula units
Total moment ... 0.000 μB per cell

Geometry as CIF:
```
data_Rb2In3Hg8
_chemical_formula_sum 'Rb2 In3 Hg8'
_cell_length_a 6.491
_cell_length_b 6.636
_cell_length_c 9.945
_cell_angle_alpha 109.49
_cell_angle_beta 99.71
_cell_angle_gamma 90.00
_space_group_name_H-M_alt 'P 1'
_space_group_IT_number 1
loop_
_space_group_symop_operation_xyz
'x,y,z'
loop_
_atom_site_label
_atom_site_fract_x
_atom_site_fract_y
_atom_site_fract_z
Rb1 0.692 0.815 0.629
Rb2 0.308 0.185 0.371
Hg1 0.230 0.612 0.740
Hg2 0.143 0.721 0.443
Hg3 0.230 0.128 0.740
Hg4 0.857 0.279 0.557
Hg5 0.640 0.422 0.845
Hg6 0.770 0.872 0.260
Hg7 0.360 0.578 0.155
Hg8 0.770 0.388 0.260
In1 0.500 0.000 0.000
In2 0.000 0.237 0.000
In3 0.000 0.763 0.000
```

=====

# 5
A geometry-optimized RbIn8Hg2 structure. Source: Alexandria, functional PBE.

Calculated values
N(E_F) ... 3.7 states/eV/cell
E_form ... 10 kJ/mol of formula units
Total moment ... 0.000 μB per cell

Geometry as CIF:
```
data_RbIn8Hg2
_chemical_formula_sum 'Rb1 In8 Hg2'
_cell_length_a 5.571
_cell_length_b 5.571
_cell_length_c 11.946
_cell_angle_alpha 90.06
_cell_angle_beta 89.86
_cell_angle_gamma 79.49
_space_group_name_H-M_alt 'P 1'
_space_group_IT_number 1
loop_
_space_group_symop_operation_xyz
'x,y,z'
loop_
_atom_site_label
_atom_site_fract_x
_atom_site_fract_y
_atom_site_fract_z
Hg1 0.000 0.001 0.353
Hg2 0.000 0.999 0.647
In1 0.500 0.000 0.500
In2 0.498 0.501 0.639
In3 0.000 0.500 0.500
In4 0.003 0.501 0.227
In5 0.500 0.001 0.773
In6 0.500 0.999 0.227
In7 0.997 0.499 0.773
In8 0.502 0.499 0.361
Rb1 0.000 0.000 0.000
```

=====

# 6
A geometry-optimized RbInHg4 structure. Source: Alexandria, functional PBE.

Calculated values
N(E_F) ... 4.4 states/eV/cell
E_form ... -41 kJ/mol of formula units
Total moment ... 0.000 μB per cell
Excess energy over the best structure of this formula in the dataset ... 54.2 meV per atom

Geometry as CIF:
```
data_RbInHg4
_chemical_formula_sum 'Rb1 In1 Hg4'
_cell_length_a 6.380
_cell_length_b 6.380
_cell_length_c 6.380
_cell_angle_alpha 60.00
_cell_angle_beta 60.00
_cell_angle_gamma 60.00
_space_group_name_H-M_alt 'P 1'
_space_group_IT_number 1
loop_
_space_group_symop_operation_xyz
'x,y,z'
loop_
_atom_site_label
_atom_site_fract_x
_atom_site_fract_y
_atom_site_fract_z
Hg1 0.625 0.625 0.124
Hg2 0.124 0.625 0.625
Hg3 0.625 0.625 0.625
Hg4 0.625 0.124 0.625
Rb1 0.250 0.250 0.250
In1 0.000 0.000 0.000
```

=====

> Look up the E_form of the third one.

-75 kJ/mol of formula units

=====

> Look up the total moment of the third one.

0.000 μB per cell

=====

Copy entry 3 word for word.
A geometry-optimized Rb3In4Hg structure. Source: Alexandria, functional PBE.

Calculated values
N(E_F) ... 9.9 states/eV/cell
E_form ... -75 kJ/mol of formula units
Total moment ... 0.000 μB per cell

Geometry as CIF:
```
data_Rb3In4Hg
_chemical_formula_sum 'Rb6 In8 Hg2'
_cell_length_a 6.896
_cell_length_b 6.618
_cell_length_c 14.795
_cell_angle_alpha 90.00
_cell_angle_beta 90.00
_cell_angle_gamma 90.00
_space_group_name_H-M_alt 'P 1'
_space_group_IT_number 1
loop_
_space_group_symop_operation_xyz
'x,y,z'
loop_
_atom_site_label
_atom_site_fract_x
_atom_site_fract_y
_atom_site_fract_z
Hg1 0.324 0.000 0.500
Hg2 0.676 0.500 0.000
Rb1 0.796 0.500 0.756
Rb2 0.796 0.500 0.244
Rb3 0.472 0.500 0.500
Rb4 0.204 0.000 0.256
Rb5 0.528 0.000 0.000
Rb6 0.204 0.000 0.744
In1 0.970 0.730 0.500
In2 0.693 0.000 0.387
In3 0.030 0.230 0.000
In4 0.307 0.500 0.113
In5 0.307 0.500 0.887
In6 0.970 0.270 0.500
In7 0.693 0.000 0.613
In8 0.030 0.770 0.000
```